No. 1
# Er2Al6Pt (PBE, optimized geometry)
# Calculated formation energy, kJ/mol of formula units: -520
# Raw total energy, eV per atom: -4.7790
# Crystal system: trigonal
# Fermi-level density of states, states/eV/f.u.: 5.69
data_Er2Al6Pt
_symmetry_space_group_name_H-M 'P 1'
_symmetry_Int_Tables_number 1
_cell_length_a 5.9391
_cell_length_b 5.7457
_cell_length_c 5.7457
_cell_angle_alpha 60.00
_cell_angle_beta 90.02
_cell_angle_gamma 90.02
loop_
_symmetry_equiv_pos_as_xyz
'x,y,z'
loop_
_atom_site_label
_atom_site_type_symbol
_atom_site_fract_x
_atom_site_fract_y
_atom_site_fract_z
Er1 Er 0.1262 0.3334 0.3334
Er2 Er 0.8738 0.6666 0.6666
Al1 Al 0.6793 0.1732 0.1732
Al2 Al 0.3209 0.8268 0.3466
Al3 Al 0.3207 0.8268 0.8268
Al4 Al 0.6791 0.1732 0.6534
Al5 Al 0.3209 0.3466 0.8268
Al6 Al 0.6791 0.6534 0.1732
Pt1 Pt 0.0000 0.0000 0.0000


No. 2
# Dy8Ga2Bi (PBE, optimized geometry)
# Calculated formation energy, kJ/mol of formula units: -325
# Raw total energy, eV per atom: -4.5564
# Crystal system: monoclinic
# Fermi-level density of states, states/eV/f.u.: 12.01
data_Dy8Ga2Bi
_symmetry_space_group_name_H-M 'P 1'
_symmetry_Int_Tables_number 1
_cell_length_a 4.9005
_cell_length_b 7.0492
_cell_length_c 9.7386
_cell_angle_alpha 102.45
_cell_angle_beta 104.57
_cell_angle_gamma 90.00
loop_
_symmetry_equiv_pos_as_xyz
'x,y,z'
loop_
_atom_site_label
_atom_site_type_symbol
_atom_site_fract_x
_atom_site_fract_y
_atom_site_fract_z
Ga1 Ga 0.8106 0.2609 0.6211
Ga2 Ga 0.1894 0.7391 0.3789
Dy1 Dy 0.7901 0.6781 0.5801
Dy2 Dy 0.3332 0.0280 0.6664
Dy3 Dy 0.9679 0.2487 0.9359
Dy4 Dy 0.4044 0.5314 0.8088
Dy5 Dy 0.0321 0.7513 0.0641
Dy6 Dy 0.6668 0.9720 0.3336
Dy7 Dy 0.5956 0.4686 0.1912
Dy8 Dy 0.2099 0.3219 0.4199
Bi1 Bi 0.5000 0.0000 0.0000


No. 3
# Ga2TePtS6 (PBE, optimized geometry)
# Raw total energy, eV per atom: -4.2486
# Formation energy from raw total energies, eV/atom: -0.248
# Crystal system: monoclinic
# Fermi-level density of states, states/eV/f.u.: 2.33
data_Ga2TePtS6
_symmetry_space_group_name_H-M 'P 1'
_symmetry_Int_Tables_number 1
_cell_length_a 6.7523
_cell_length_b 8.2996
_cell_length_c 8.2996
_cell_angle_alpha 81.64
_cell_angle_beta 74.55
_cell_angle_gamma 74.55
loop_
_symmetry_equiv_pos_as_xyz
'x,y,z'
loop_
_atom_site_label
_atom_site_type_symbol
_atom_site_fract_x
_atom_site_fract_y
_atom_site_fract_z
Ga1 Ga 0.7578 0.1959 0.3846
Ga2 Ga 0.2422 0.8041 0.6154
Ga3 Ga 0.7422 0.6154 0.8041
Ga4 Ga 0.2578 0.3846 0.1959
S1 S 0.3698 0.1826 0.0037
S2 S 0.1365 0.6495 0.0787
S3 S 0.8635 0.3505 0.9213
S4 S 0.0294 0.6437 0.5925
S5 S 0.3635 0.9213 0.3505
S6 S 0.6365 0.0787 0.6495
S7 S 0.1302 0.9963 0.8174
S8 S 0.6302 0.8174 0.9963
S9 S 0.9706 0.3563 0.4075
S10 S 0.5294 0.5925 0.6437
S11 S 0.8698 0.0037 0.1826
S12 S 0.4706 0.4075 0.3563
Pt1 Pt 0.7500 0.0904 0.9096
Pt2 Pt 0.2500 0.9096 0.0904
Te1 Te 0.7500 0.6890 0.3110
Te2 Te 0.2500 0.3110 0.6890


No. 4
# ZrTi5Bi2 (PBE, optimized geometry)
# Calculated formation energy, kJ/mol of formula units: 9
# Raw total energy, eV per atom: -6.9618
# Crystal system: orthorhombic
# Fermi-level density of states, states/eV/f.u.: 10.11
data_ZrTi5Bi2
_symmetry_space_group_name_H-M 'P 1'
_symmetry_Int_Tables_number 1
_cell_length_a 3.5272
_cell_length_b 7.1360
_cell_length_c 7.1360
_cell_angle_alpha 74.60
_cell_angle_beta 75.69
_cell_angle_gamma 75.69
loop_
_symmetry_equiv_pos_as_xyz
'x,y,z'
loop_
_atom_site_label
_atom_site_type_symbol
_atom_site_fract_x
_atom_site_fract_y
_atom_site_fract_z
Ti1 Ti 0.3746 0.4217 0.8290
Ti2 Ti 0.3746 0.8290 0.4217
Ti3 Ti 0.0000 0.5000 0.5000
Ti4 Ti 0.6254 0.1710 0.5783
Ti5 Ti 0.6254 0.5783 0.1710
Bi1 Bi 0.2652 0.2348 0.2348
Bi2 Bi 0.7348 0.7652 0.7652
Zr1 Zr 0.0000 0.0000 0.0000


No. 5
# CoCu2SiS4 (PBE, optimized geometry)
# Raw total energy, eV per atom: -5.0439
# Formation energy from raw total energies, eV/atom: -0.390
# Crystal system: tetragonal
# Fermi-level density of states, states/eV/f.u.: 2.58
data_CoCu2SiS4
_symmetry_space_group_name_H-M 'P 1'
_symmetry_Int_Tables_number 1
_cell_length_a 6.4053
_cell_length_b 6.4053
_cell_length_c 6.4053
_cell_angle_alpha 132.06
_cell_angle_beta 132.06
_cell_angle_gamma 70.13
loop_
_symmetry_equiv_pos_as_xyz
'x,y,z'
loop_
_atom_site_label
_atom_site_type_symbol
_atom_site_fract_x
_atom_site_fract_y
_atom_site_fract_z
S1 S 0.3791 0.3791 0.5180
S2 S 0.6209 0.1389 0.0000
S3 S 0.1389 0.6209 0.0000
S4 S 0.8611 0.8611 0.4820
Si1 Si 0.5000 0.5000 0.0000
Cu1 Cu 0.7500 0.2500 0.5000
Cu2 Cu 0.2500 0.7500 0.5000
Co1 Co 0.0000 0.0000 0.0000


No. 6
# Pr7Ag2Ru2 (PBE, optimized geometry)
# Calculated formation energy, kJ/mol of formula units: -105
# Raw total energy, eV per atom: -5.3450
# Crystal system: orthorhombic
# Fermi-level density of states, states/eV/f.u.: 9.36
data_Pr7Ag2Ru2
_symmetry_space_group_name_H-M 'P 1'
_symmetry_Int_Tables_number 1
_cell_length_a 7.0333
_cell_length_b 7.2133
_cell_length_c 7.0333
_cell_angle_alpha 90.00
_cell_angle_beta 109.76
_cell_angle_gamma 90.00
loop_
_symmetry_equiv_pos_as_xyz
'x,y,z'
loop_
_atom_site_label
_atom_site_type_symbol
_atom_site_fract_x
_atom_site_fract_y
_atom_site_fract_z
Pr1 Pr 0.5000 0.7519 0.5000
Pr2 Pr 0.5000 0.2481 0.5000
Pr3 Pr 0.0000 0.2577 0.5000
Pr4 Pr 0.0000 0.7423 0.5000
Pr5 Pr 0.5000 0.7423 0.0000
Pr6 Pr 0.5000 0.2577 0.0000
Pr7 Pr 0.0000 0.0000 0.0000
Ru1 Ru 0.2995 0.0000 0.7005
Ru2 Ru 0.7005 0.0000 0.2995
Ag1 Ag 0.1710 0.5000 0.1710
Ag2 Ag 0.8290 0.5000 0.8290


No. 7
# SbMo (PBE, optimized geometry)
# Raw total energy, eV per atom: -6.9239
# Formation energy from raw total energies, eV/atom: 0.553
# Crystal system: tetragonal
# Fermi-level density of states, states/eV/f.u.: 1.23
data_SbMo
_symmetry_space_group_name_H-M 'P 1'
_symmetry_Int_Tables_number 1
_cell_length_a 12.0170
_cell_length_b 12.0170
_cell_length_c 3.2773
_cell_angle_alpha 90.00
_cell_angle_beta 90.00
_cell_angle_gamma 90.00
loop_
_symmetry_equiv_pos_as_xyz
'x,y,z'
loop_
_atom_site_label
_atom_site_type_symbol
_atom_site_fract_x
_atom_site_fract_y
_atom_site_fract_z
Sb1 Sb 0.7261 0.0544 0.5000
Sb2 Sb 0.2261 0.5544 0.0000
Sb3 Sb 0.9456 0.7261 0.5000
Sb4 Sb 0.2739 0.9456 0.5000
Sb5 Sb 0.4456 0.2261 0.0000
Sb6 Sb 0.7739 0.4456 0.0000
Sb7 Sb 0.0544 0.2739 0.5000
Sb8 Sb 0.5544 0.7739 0.0000
Mo1 Mo 0.6733 0.2344 0.0000
Mo2 Mo 0.8267 0.2656 0.5000
Mo3 Mo 0.7344 0.8267 0.5000
Mo4 Mo 0.1733 0.7344 0.5000
Mo5 Mo 0.7656 0.6733 0.0000
Mo6 Mo 0.2344 0.3267 0.0000
Mo7 Mo 0.3267 0.7656 0.0000
Mo8 Mo 0.2656 0.1733 0.5000


No. 8
# Rb2HfHg2Br6 (PBE, optimized geometry)
# Raw total energy, eV per atom: -3.3289
# Formation energy from raw total energies, eV/atom: -1.281
# Crystal system: monoclinic
# Fermi-level density of states, states/eV/f.u.: 0.00
data_Rb2HfHg2Br6
_symmetry_space_group_name_H-M 'P 1'
_symmetry_Int_Tables_number 1
_cell_length_a 8.3505
_cell_length_b 8.3505
_cell_length_c 9.3981
_cell_angle_alpha 100.12
_cell_angle_beta 100.12
_cell_angle_gamma 120.79
loop_
_symmetry_equiv_pos_as_xyz
'x,y,z'
loop_
_atom_site_label
_atom_site_type_symbol
_atom_site_fract_x
_atom_site_fract_y
_atom_site_fract_z
Rb1 Rb 0.3320 0.6680 0.5000
Rb2 Rb 0.6680 0.3320 0.5000
Hg1 Hg 0.2016 0.7984 0.0000
Hg2 Hg 0.7984 0.2016 0.0000
Hf1 Hf 0.0000 0.0000 0.5000
Br1 Br 0.8102 0.8102 0.6740
Br2 Br 0.1898 0.1898 0.3260
Br3 Br 0.0720 0.3277 0.6751
Br4 Br 0.6723 0.9280 0.3249
Br5 Br 0.9280 0.6723 0.3249
Br6 Br 0.3277 0.0720 0.6751


Ordered size of the total moment results: 0.0, 0.0, 0.0, 0.5, 3.0, 0.0, 0.0, 0.0; unit μB per cell.